# 1
4
Lattice="3.202 0.000 0.000 -1.601 2.773 0.000 0.000 0.000 10.574" Properties=species:S:1:pos:R:3 comment="Mg3Sc | the Alexandria database | PBE-GGA | optimized geometry" dft_energy_ev_per_fu=-11.1 e_form_kj_per_mol_fu=4 pbc="T T T"
Mg 0.000 0.000 0.000
Mg 0.000 1.849 2.633
Mg 0.000 1.849 7.941
Sc 0.000 0.000 5.287

***

# 2
5
Lattice="4.392 0.000 0.000 0.000 4.392 0.000 0.000 0.000 4.392" Properties=species:S:1:pos:R:3 comment="ScRe3S | the Alexandria database | PBE-GGA | optimized geometry" dft_energy_ev_per_fu=-45.3 pbc="T T T"
Sc 0.000 0.000 0.000
Re 0.000 2.196 2.196
Re 2.196 0.000 2.196
Re 2.196 2.196 0.000
S 2.196 2.196 2.196

***

# 3
14
Lattice="8.169 0.000 0.000 -3.916 7.317 0.000 -0.249 -4.540 8.041" Properties=species:S:1:pos:R:3 comment="NaAu2Br4 | the Alexandria database | PBE-GGA | optimized geometry" dft_energy_ev_per_fu=-17.9 pbc="T T T"
Na -0.676 0.405 2.335
Na 4.679 2.373 5.707
Au -1.958 3.659 0.000
Au 3.960 -2.270 4.021
Au 2.126 3.659 0.000
Au 2.002 1.389 4.021
Br 0.566 -3.118 8.026
Br -1.259 2.894 3.909
Br 1.489 -0.974 4.135
Br 0.007 5.094 0.121
Br 3.997 -2.316 7.921
Br 2.515 3.751 3.906
Br 5.263 -0.117 4.132
Br 3.438 5.895 0.015

***

# 4
5
Lattice="4.577 0.000 0.000 0.000 4.577 0.000 0.000 0.000 4.577" Properties=species:S:1:pos:R:3 comment="LiRu3Br | the Alexandria database | PBE-GGA | optimized geometry" de_polymorph_ev_per_atom=0.0000 dft_energy_ev_per_fu=-24.5 pbc="T T T"
Li 0.000 0.000 0.000
Ru 0.000 2.288 2.288
Ru 2.288 0.000 2.288
Ru 2.288 2.288 0.000
Br 2.288 2.288 2.288

***

# 5
9
Lattice="7.049 0.000 0.000 -3.525 6.105 0.000 0.000 0.000 7.461" Properties=species:S:1:pos:R:3 comment="CsCrPbCl6 | the Alexandria database | PBE-GGA | optimized geometry" dft_energy_ev_per_fu=-37.3 pbc="T T T"
Cs 0.000 0.000 0.000
Cr 3.525 2.035 3.731
Pb 0.000 4.070 3.731
Cl 2.612 0.345 5.131
Cl 1.605 2.090 2.330
Cl 4.437 0.345 2.330
Cl 2.517 3.670 5.131
Cl 5.444 2.090 5.131
Cl 4.532 3.670 2.330

***

# 6
8
Lattice="2.726 1.574 8.949 -2.726 1.574 8.949 0.000 -3.147 8.949" Properties=species:S:1:pos:R:3 comment="LaCe2HoIn4 | the Alexandria database | PBE-GGA | optimized geometry" dft_energy_ev_per_fu=-35.5 e_form_kj_per_mol_fu=-303 pbc="T T T"
La 0.000 0.000 0.000
Ce 0.000 0.000 6.688
Ce 0.000 0.000 20.159
Ho 0.000 0.000 13.423
In 0.000 0.000 3.412
In 0.000 0.000 10.135
In 0.000 0.000 16.712
In 0.000 0.000 23.435